The following is a DFT calculation (PBE-GGA) of a relaxed NbIrPt2O crystal.

abc: 4.289 4.289 4.147
angles: 90.00 90.00 90.00
Fractional positions:
Nb 0.000 0.000 0.000
Ir 0.500 0.500 0.000
Pt 0.000 0.500 0.500
Pt 0.500 0.000 0.500
O 0.500 0.500 0.500

Output
DOS(E_F) ... 5.960 states/eV/f.u.
Relative energy among the computed polymorphs ... 0.0000 eV per atom
Raw formation energy ... 0.44 eV/atom